Below is a relaxed V2MoRh3 crystal, with properties calculated at the PBE level.

SG: Cmmm, No. 65
calculated density: 9.8 g cm⁻³
calculated formation energy: -0.9 eV per formula unit
polymorph energy (0 for the lowest one): 152.5 meV per atom
M_tot: 0.0 μB per formula unit

Lattice parameters (Å, degrees): 4.539 5.495 7.779 110.68 106.96 90.00
Fractional positions:
V (0.344, 0.344, 0.688)
V (0.656, 0.156, 0.312)
V (0.344, 0.844, 0.688)
V (0.656, 0.656, 0.312)
Mo (0.000, 0.500, 0.000)
Mo (0.000, 0.000, 0.000)
Rh (0.500, 0.250, 0.000)
Rh (0.500, 0.750, 0.000)
Rh (0.816, 0.066, 0.632)
Rh (0.184, 0.434, 0.368)
Rh (0.184, 0.934, 0.368)
Rh (0.816, 0.566, 0.632)